No. 1
Compound: Sr4AgP
Source: Alexandria
Functional: GGA-PBE
Structure: relaxed

Unit cell a=9.358 b=9.358 c=7.535 alpha=113.64 beta=113.64 gamma=47.46
Element x y z (fractional)
Sr 0.131 0.131 0.130
Sr 0.131 0.131 0.630
Sr 0.368 0.370 0.868
Sr 0.370 0.368 0.368
Sr 0.630 0.632 0.632
Sr 0.632 0.630 0.132
Sr 0.869 0.869 0.370
Sr 0.869 0.869 0.870
Ag 0.250 0.750 0.250
Ag 0.750 0.250 0.750
P 0.000 0.500 0.500
P 0.500 0.000 0.000

Values from the calculation:
Magnetic moment ... 0.00 μB/cell
Formation energy from the elements ... -0.4471 eV/atom
SG ... C2/c (15)
Electronic total energy ... -2.95 eV per atom
Energy above the lowest structure with this stoichiometry ... 0 meV per atom
Theoretical density ... 3.72 g cm⁻³

=====

No. 2
Compound: NbAlNi
Source: Alexandria
Functional: GGA-PBE
Structure: relaxed

Unit cell a=4.132 b=4.153 c=5.845 alpha=90.00 beta=90.00 gamma=90.00
Element x y z (fractional)
Nb 0.250 0.250 0.012
Nb 0.750 0.750 0.988
Al 0.250 0.250 0.509
Al 0.750 0.750 0.491
Ni 0.250 0.750 0.745
Ni 0.750 0.250 0.255

Values from the calculation:
Magnetic moment ... 0.00 μB/cell
Formation energy from the elements ... -0.0517 eV/atom
SG ... Pmmn (59)
Electronic total energy ... -6.58 eV per atom
Theoretical density ... 5.91 g cm⁻³

=====

No. 3
Compound: Zn2FeCo
Source: Alexandria
Functional: GGA-PBE
Structure: relaxed

Unit cell a=8.726 b=8.726 c=8.726 alpha=17.16 beta=17.16 gamma=17.16
Element x y z (fractional)
Zn 0.000 0.000 0.000
Zn 0.239 0.239 0.239
Fe 0.750 0.750 0.750
Co 0.491 0.491 0.491

Values from the calculation:
Magnetic moment ... 3.33 μB/cell
Formation energy from the elements ... 0.0446 eV/atom
SG ... R3m (160)
Electronic total energy ... -4.48 eV per atom
Energy above the lowest structure with this stoichiometry ... 53 meV per atom
Theoretical density ... 8.08 g cm⁻³